# 1
Entry from Alexandria via LeMat-Bulk: an optimized crystal structure of AlP7Se (PBE).

Results
V	22.22	Å³/atom
formation energy from raw total energies	0.070	eV per atom

Cell lengths 6.040, 6.999, 10.583 Å; angles 71.17, 74.28, 74.72 degrees
Space group P1 (No. 1)
Unique sites:
Al1 0.000 0.000 0.000 (multiplicity 1)
Al2 0.132 0.402 0.280 (multiplicity 1)
P1 0.166 0.602 0.039 (multiplicity 1)
P2 0.167 0.908 0.225 (multiplicity 1)
P3 0.224 0.296 0.579 (multiplicity 1)
P4 0.264 0.617 0.573 (multiplicity 1)
P5 0.291 0.108 0.782 (multiplicity 1)
P6 0.400 0.112 0.220 (multiplicity 1)
P7 0.415 0.616 0.233 (multiplicity 1)
P8 0.457 0.319 0.007 (multiplicity 1)
P9 0.559 0.656 0.390 (multiplicity 1)
P10 0.654 0.986 0.741 (multiplicity 1)
P11 0.692 0.864 0.954 (multiplicity 1)
P12 0.764 0.338 0.434 (multiplicity 1)
P13 0.777 0.319 0.072 (multiplicity 1)
P14 0.938 0.577 0.916 (multiplicity 1)
Se1 0.817 0.344 0.643 (multiplicity 1)
Se2 0.989 0.857 0.461 (multiplicity 1)

# 2
Entry from Alexandria via LeMat-Bulk: an optimized crystal structure of TbYEr2N4 (PBE).

Results
V	14.62	Å³/atom
formation energy from raw total energies	-1.729	eV per atom

Cell lengths 5.989, 3.459, 5.990 Å; angles 90.00, 109.45, 90.00 degrees
Space group P2/m (No. 10)
Unique sites:
Tb1 0.000 0.000 0.000 (multiplicity 1)
Y1 0.500 0.500 0.000 (multiplicity 1)
Er1 0.000 0.500 0.500 (multiplicity 1)
Er2 0.500 0.000 0.500 (multiplicity 1)
N1 0.249 0.000 0.746 (multiplicity 2)
N2 0.252 0.500 0.254 (multiplicity 2)

# 3
Entry from Alexandria via LeMat-Bulk: an optimized crystal structure of HoEr3Sn2C (PBE).

Results
V	25.56	Å³/atom
energy relative to the elements	-0.670	eV per atom

Cell lengths 4.751, 4.767, 15.802 Å; angles 90.00, 90.00, 90.00 degrees
Space group Immm (No. 71)
Unique sites:
Ho1 0.000 0.000 0.000 (multiplicity 2)
Er1 0.000 0.000 0.500 (multiplicity 2)
Er2 0.000 0.500 0.158 (multiplicity 4)
Sn1 0.000 0.500 0.359 (multiplicity 4)
C1 0.000 0.500 0.000 (multiplicity 2)

# 4
Entry from Alexandria via LeMat-Bulk: an optimized crystal structure of AcSnPd2 (PBE).

Results
V	23.65	Å³/atom
energy relative to the elements	-0.854	eV per atom

Cell lengths 7.883, 7.210, 6.657 Å; angles 90.00, 90.00, 90.00 degrees
Space group Pnma (No. 62)
Unique sites:
Ac1 0.023 0.250 0.171 (multiplicity 4)
Sn1 0.127 0.750 0.331 (multiplicity 4)
Pd1 0.177 0.052 0.569 (multiplicity 8)

# 5
Entry from Alexandria via LeMat-Bulk: an optimized crystal structure of CdBiIr2O8 (PBE).

Results
V	16.31	Å³/atom
formation energy from raw total energies	-0.383	eV per atom

Cell lengths 6.0665, 6.0665, 6.1390 Å; angles 90.00, 90.00, 120.00 degrees
Space group P-3 (No. 147)
Unique sites:
Cd1 0.0000 0.0000 0.0000 (multiplicity 1)
Bi1 0.0000 0.0000 0.5000 (multiplicity 1)
Ir1 0.3333 0.6667 0.4617 (multiplicity 2)
O1 0.0766 0.3961 0.6328 (multiplicity 6)
O2 0.3333 0.6667 0.1748 (multiplicity 2)

| no. | final energy (Ha/atom) |
| --- | --- |
| 1 | -0.18155 |
| 2 | -0.30939 |
| 3 | -0.21097 |
| 4 | -0.20130 |
| 5 | -0.20450 |